An optimized crystal structure of SbMoNO2, computed with GGA+U.

Lattice parameters (Å, degrees): 4.048 4.048 4.061 90.00 90.00 90.00
Space group P4/mmm (No. 123)
Symmetry-distinct sites (fractional):
1 Sb 0.000 0.000 0.000 (multiplicity 1)
2 Mo 0.500 0.500 0.500 (multiplicity 1)
3 N 0.500 0.500 0.000 (multiplicity 1)
4 O 0.000 0.500 0.500 (multiplicity 2)

Calculated values
* uncorrected energy: -31.23 eV for the cell shown